No. 1
The following is a DFT calculation (PBE) of a relaxed Rb2BeIBr6 crystal.

Structure (POSCAR):
```
Rb2BeIBr6
1.0
-2.4920 7.3530 2.1106
-7.0003 -3.0871 2.4896
-2.5471 1.3737 7.5418
Br Be Rb I
6 1 2 1
Cartesian
-3.5770 1.7293 5.0870
-8.4625 3.9104 7.0549
-3.8305 4.2535 2.2231
-2.8181 1.2665 1.3657
-5.6618 0.0125 2.3771
-6.6742 2.9995 3.2344
-4.7461 2.1330 2.3001
-4.8927 5.4299 5.9762
-7.1468 0.2098 6.1657
0.0000 0.0000 0.0000
```

Results
total moment	0.00	μB per cell
mass density	3.517	g cm⁻³
calculated volume	371.2	Å³/f.u.
crystal system	tetragonal
energy relative to the elements, uncorrected	-840.3	meV per atom

=====

No. 2
The following is a DFT calculation (PBE) of a relaxed Pm3Sm7Sc crystal.

Structure (POSCAR):
```
Pm3Sm7Sc
1.0
5.8440 -0.1834 -0.2349
-2.6303 8.0380 1.0792
-2.6303 -0.9017 8.0598
Sm Sc Pm
7 1 3
Cartesian
0.1773 4.7372 0.6990
0.4061 7.4232 4.1388
0.4535 5.4590 6.9910
-2.6303 3.5682 4.5695
0.1299 1.4939 1.9131
0.4061 2.2157 8.2051
0.1773 -0.4703 4.7654
0.2917 3.4765 4.4521
-2.6303 6.1838 2.5270
2.9220 -0.0917 -0.1174
-2.6303 0.9525 6.6120
```

Results
ΔE_f	2.67	eV/f.u.
total moment	0.22	μB per cell
mass density	6.779	g cm⁻³
calculated volume	375.4	Å³/f.u.
crystal system	orthorhombic
distance to the lowest polymorph of the same formula	0.0499	eV per atom

=====

No. 3
The following is a DFT calculation (PBE) of a relaxed SrBrCl crystal.

Structure (POSCAR):
```
SrBrCl
1.0
5.1040 0.0000 0.0000
-2.5520 4.4202 0.0000
0.0000 0.0000 25.4946
Cl Sr Br
6 6 6
Cartesian
2.5520 1.4734 18.0322
0.0000 0.0000 15.9607
0.0000 2.9468 7.4625
2.5520 1.4734 24.4589
0.0000 0.0000 9.5340
0.0000 2.9468 1.0358
2.5520 1.4734 8.4982
2.5520 1.4734 21.2455
0.0000 2.9468 16.9964
0.0000 2.9468 4.2491
0.0000 0.0000 0.0000
0.0000 0.0000 12.7473
2.5520 1.4734 11.6407
0.0000 2.9468 13.8540
0.0000 2.9468 20.1389
0.0000 0.0000 22.3522
2.5520 1.4734 5.3557
0.0000 0.0000 3.1425
```

Results
total moment	0.00	μB per cell
mass density	3.516	g cm⁻³
calculated volume	95.9	Å³/f.u.
crystal system	trigonal
energy relative to the elements, uncorrected	-2283.6	meV per atom

=====

No. 4
The following is a DFT calculation (PBE) of a relaxed Co2SbSe crystal.

Structure (POSCAR):
```
Co2SbSe
1.0
-2.3784 -1.8888 2.0973
2.0378 -3.0510 -0.4366
3.1797 1.4295 4.8934
Co Sb Se
2 1 1
Cartesian
-0.0754 -1.9315 1.4228
2.1334 -2.5118 0.1573
2.0172 -0.5820 1.7635
3.4105 -2.3466 5.0022
```

Results
total moment	0.00	μB per cell
mass density	6.457	g cm⁻³
calculated volume	81.9	Å³/f.u.
crystal system	tetragonal
energy relative to the elements, uncorrected	-131.9	meV per atom

=====

No. 5
The following is a DFT calculation (PBE) of a relaxed SbOsPt2 crystal.

Structure (POSCAR):
```
SbOsPt2
1.0
5.0640 0.1071 0.0000
1.8227 4.7258 0.0000
-3.4433 -2.4165 2.8213
Os Pt Sb
1 2 1
Cartesian
2.5320 0.0536 1.4106
3.4433 2.4165 0.0000
0.0000 0.0000 0.0000
0.9113 2.3629 1.4106
```

Results
total moment	1.24	μB per cell
mass density	17.411	g cm⁻³
calculated volume	67.0	Å³/f.u.
crystal system	tetragonal
energy relative to the elements, uncorrected	347.2	meV per atom

=====

No. 6
The following is a DFT calculation (PBE) of a relaxed Er3MgHg4 crystal.

Structure (POSCAR):
```
Er3MgHg4
1.0
4.9120 0.0000 1.4500
2.2420 4.3705 1.4500
0.0206 0.0126 8.9752
Er Hg Mg
3 4 1
Cartesian
1.8223 1.1133 2.8718
3.5873 2.1916 5.9376
5.3524 3.2698 9.0034
4.4719 2.7320 2.9408
0.9173 0.5604 5.9376
6.2574 3.8227 5.9375
2.7027 1.6511 8.9343
0.0000 0.0000 0.0000
```

Results
ΔE_f	-3.70	eV/f.u.
total moment	0.00	μB per cell
mass density	11.459	g cm⁻³
calculated volume	192.5	Å³/f.u.
crystal system	trigonal

=====

No. 7
The following is a DFT calculation (PBE) of a relaxed Sr2Si4Rh3 crystal.

Structure (POSCAR):
```
Sr2Si4Rh3
1.0
-0.2337 0.1404 -5.8008
-4.7920 -0.2805 3.2683
2.2701 6.0060 1.4197
Rh Si Sr
3 4 2
Cartesian
0.0000 0.0000 0.0000
-2.3960 -0.1402 1.6342
-0.1169 0.0702 -2.9004
-1.5807 3.9741 2.9171
1.2450 4.2350 -2.7049
-1.1749 1.8918 -4.0300
-4.0007 1.6309 1.5921
-0.1761 4.3069 0.1113
-2.5795 1.5591 -1.2242
```

Results
total moment	0.00	μB per cell
mass density	5.827	g cm⁻³
calculated volume	169.9	Å³/f.u.
crystal system	orthorhombic
energy relative to the elements, uncorrected	-561.5	meV per atom

=====

No. 8
The following is a DFT calculation (PBE) of a relaxed NaErInTe3 crystal.

Structure (POSCAR):
```
NaErInTe3
1.0
4.3241 0.0000 0.0000
0.0000 8.9868 0.2429
0.0000 -2.0637 10.2953
In Te Er Na
2 6 2 2
Cartesian
3.2431 6.9291 4.7867
1.0810 -0.0061 5.7516
3.2431 7.6142 1.9367
1.0810 3.6349 9.0032
1.0810 -0.6912 8.6015
1.0810 4.9429 4.8717
3.2431 1.9801 5.6666
3.2431 3.2882 1.5350
1.0810 5.3869 1.7798
3.2431 1.5361 8.7584
3.2431 5.9081 8.8260
1.0810 1.0149 1.7122
```

Results
total moment	0.00	μB per cell
mass density	5.679	g cm⁻³
calculated volume	201.1	Å³/f.u.
crystal system	monoclinic
energy relative to the elements, uncorrected	-883.6	meV per atom